Here is a relaxed Zr3Cu3Sb4 crystal from the Alexandria database. Energies are from PBE-GGA.

a b c (Å): 8.063 8.063 8.063
angles (deg): 109.47 109.47 109.47
Fractional coordinates of all 20 atoms:
Zr: 0.125 0.375 0.250
Zr: 0.875 0.250 0.625
Zr: 0.625 0.750 0.875
Zr: 0.750 0.625 0.375
Zr: 0.250 0.875 0.125
Zr: 0.375 0.125 0.750
Cu: 0.875 0.625 0.750
Cu: 0.125 0.750 0.375
Cu: 0.625 0.875 0.250
Cu: 0.750 0.125 0.875
Cu: 0.250 0.375 0.625
Cu: 0.375 0.250 0.125
Sb: 0.828 0.500 0.000
Sb: 0.328 0.500 0.000
Sb: 0.172 0.672 0.672
Sb: 0.000 0.000 0.328
Sb: 0.672 0.172 0.172
Sb: 0.500 0.828 0.500
Sb: 0.500 0.328 0.500
Sb: 0.000 0.000 0.828

Computed properties:
total magnetization	0.00	μB per cell
formation energy without anion corrections	-2.64	eV per formula unit
electronic total energy	-5.706	eV per atom

Here is a relaxed CsSb2F7 crystal from the Alexandria database. Energies are from PBE-GGA.

a b c (Å): 10.788 10.788 6.580
angles (deg): 84.50 84.50 33.50
Fractional coordinates of all 20 atoms:
F: 0.777 0.975 0.504
F: 0.640 0.229 0.181
F: 0.025 0.223 0.996
F: 0.975 0.777 0.004
F: 0.223 0.025 0.496
F: 0.308 0.386 0.403
F: 0.500 0.000 0.500
F: 0.229 0.640 0.681
F: 0.771 0.360 0.319
F: 0.386 0.308 0.903
F: 0.360 0.771 0.819
F: 0.692 0.614 0.597
F: 0.000 0.500 0.000
F: 0.614 0.692 0.097
Sb: 0.586 0.093 0.276
Sb: 0.907 0.414 0.224
Sb: 0.093 0.586 0.776
Sb: 0.414 0.907 0.724
Cs: 0.247 0.753 0.250
Cs: 0.753 0.247 0.750

Computed properties:
total magnetization	0.00	μB per cell
formation energy without anion corrections	-25.07	eV per formula unit
electronic total energy	-4.726	eV per atom
energy above the most stable polymorph in this dataset	13	meV per atom

Here is a relaxed NaAlPd3 crystal from the Alexandria database. Energies are from PBE-GGA.

a b c (Å): 4.653 4.653 4.653
angles (deg): 90.00 90.00 90.00
Fractional coordinates of all 5 atoms:
Al: 0.000 0.000 0.000
Pd: 0.000 0.000 0.500
Pd: 0.000 0.500 0.000
Pd: 0.500 0.000 0.000
Na: 0.500 0.500 0.500

Computed properties:
total magnetization	0.00	μB per cell
electronic total energy	-4.236	eV per atom
energy of formation from the pure elements	-108	meV/atom
energy above the most stable polymorph in this dataset	0	meV per atom

Here is a relaxed Na3PmEr2Se6 crystal from the Alexandria database. Energies are from PBE-GGA.

a b c (Å): 7.207 7.207 7.409
angles (deg): 99.34 99.34 120.01
Fractional coordinates of all 12 atoms:
Na: 0.165 0.835 0.500
Na: 0.500 0.500 0.500
Na: 0.835 0.165 0.500
Pm: 0.000 0.000 0.000
Er: 0.333 0.667 0.000
Er: 0.667 0.333 0.000
Se: 0.265 0.265 0.770
Se: 0.418 0.077 0.230
Se: 0.735 0.735 0.230
Se: 0.582 0.923 0.770
Se: 0.923 0.582 0.770
Se: 0.077 0.418 0.230

Computed properties:
total magnetization	0.00	μB per cell
formation energy without anion corrections	-20.38	eV per formula unit
electronic total energy	-4.926	eV per atom

Here is a relaxed Cs2Ga2HgI6 crystal from the Alexandria database. Energies are from PBE-GGA.

a b c (Å): 10.623 9.569 10.790
angles (deg): 109.37 93.50 37.85
Fractional coordinates of all 11 atoms:
I: 0.128 0.278 0.127
I: 0.021 0.212 0.459
I: 0.329 0.616 0.814
I: 0.671 0.384 0.186
I: 0.979 0.788 0.541
I: 0.872 0.722 0.873
Ga: 0.806 0.514 0.333
Ga: 0.194 0.486 0.667
Cs: 0.874 0.293 0.832
Cs: 0.126 0.707 0.168
Hg: 0.500 0.000 0.500

Computed properties:
total magnetization	0.00	μB per cell
formation energy without anion corrections	-9.29	eV per formula unit
electronic total energy	-2.423	eV per atom

Here is a relaxed ZrMo3Os crystal from the Alexandria database. Energies are from PBE-GGA.

a b c (Å): 4.738 4.738 4.738
angles (deg): 90.00 90.00 90.00
Fractional coordinates of all 5 atoms:
Mo: 0.000 0.500 0.000
Mo: 0.000 0.000 0.500
Mo: 0.500 0.000 0.000
Zr: 0.500 0.500 0.500
Os: 0.000 0.000 0.000

Computed properties:
total magnetization	0.00	μB per cell
electronic total energy	-9.216	eV per atom
energy of formation from the pure elements	1239	meV/atom

Here is a relaxed NaLi5Ca6 crystal from the Alexandria database. Energies are from PBE-GGA.

a b c (Å): 5.646 8.128 9.822
angles (deg): 114.44 106.70 90.00
Fractional coordinates of all 12 atoms:
Ca: 0.830 0.574 0.659
Ca: 0.170 0.914 0.341
Ca: 0.830 0.086 0.659
Ca: 0.500 0.738 0.000
Ca: 0.170 0.426 0.341
Ca: 0.500 0.262 0.000
Li: 0.667 0.667 0.335
Li: 0.336 0.836 0.672
Li: 0.664 0.164 0.328
Li: 0.000 0.500 0.000
Li: 0.333 0.333 0.665
Na: 0.000 0.000 0.000

Computed properties:
total magnetization	0.00	μB per cell
electronic total energy	-1.878	eV per atom
energy of formation from the pure elements	30	meV/atom

Here is a relaxed RbHfB crystal from the Alexandria database. Energies are from PBE-GGA.

a b c (Å): 4.937 4.937 5.446
angles (deg): 90.00 90.00 120.00
Fractional coordinates of all 6 atoms:
Hf: 0.667 0.333 0.951
Hf: 0.333 0.667 0.451
Rb: 0.000 0.000 0.806
Rb: 0.000 0.000 0.306
B: 0.333 0.667 0.993
B: 0.667 0.333 0.493

Computed properties:
total magnetization	0.00	μB per cell
electronic total energy	-4.506	eV per atom
energy of formation from the pure elements	1360	meV/atom
energy above the most stable polymorph in this dataset	1315	meV per atom